PrGa2Ag4: relaxed, PBE.

Cell and atoms, written as POSCAR:
```
PrGa2Ag4
1.0
-0.878 -4.095 -1.096
2.774 0.291 -3.311
4.175 -2.529 6.106
Ag Ga Pr
4 2 1
direct
0.000 0.683 0.366
0.000 0.317 0.634
0.500 0.816 0.633
0.500 0.184 0.367
0.500 0.418 0.836
0.500 0.582 0.164
0.000 0.000 0.000
```

Computed properties:
total energy = -24.1 eV per cell
symmetry = Cmmm (65)
calculated formation energy = -0.27 eV/atom
N(E_F) = 3.63 states/eV/cell